{
  "formula": "PrV2CdO8",
  "functional": "GGA+U",
  "state": "relaxed",
  "lattice": [[5.7384, 0.0000, 0.0000], [-2.8692, 4.9696, 0.0000], [0.0000, 0.0000, 7.0031]],
  "species": ["Pr", "V", "V", "Cd", "O", "O", "O", "O", "O", "O", "O", "O"],
  "frac_coords": [[0.0000, 0.0000, 0.0000], [0.3333, 0.6667, 0.1992], [0.6667, 0.3333, 0.8008], [0.0000, 0.0000, 0.5000], [0.1626, 0.3252, 0.2671], [0.1626, 0.8374, 0.2671], [0.3252, 0.1626, 0.7329], [0.3333, 0.6667, 0.9595], [0.6667, 0.3333, 0.0405], [0.6748, 0.8374, 0.2671], [0.8374, 0.1626, 0.7329], [0.8374, 0.6748, 0.7329]],
  "rho_g_cm3": 4.02,
  "spacegroup": "P-3m1, No. 164",
  "e_tot_ev_per_cell": -83.02
}

=====

{
  "formula": "PrCdWO6",
  "functional": "GGA+U",
  "state": "relaxed",
  "lattice": [[5.7722, 0.0000, 0.0000], [-2.8861, 4.9989, 0.0000], [0.0000, 0.0000, 4.6481]],
  "species": ["Pr", "Cd", "W", "O", "O", "O", "O", "O", "O"],
  "frac_coords": [[0.0000, 0.0000, 0.0000], [0.6667, 0.3333, 0.5000], [0.3333, 0.6667, 0.0000], [0.0441, 0.3884, 0.2303], [0.0441, 0.6557, 0.7697], [0.3443, 0.3884, 0.7697], [0.3443, 0.9559, 0.2303], [0.6116, 0.6557, 0.2303], [0.6116, 0.9559, 0.7697]],
  "rho_g_cm3": 6.60,
  "spacegroup": "P312, No. 149",
  "e_tot_ev_per_cell": -59.75
}

=====

{
  "formula": "Pr2CdWO8",
  "functional": "GGA+U",
  "state": "relaxed",
  "lattice": [[4.5506, 0.0000, 0.0000], [0.3353, 5.2569, 0.0000], [0.0848, 0.5502, 7.5873]],
  "species": ["Pr", "Pr", "Cd", "W", "O", "O", "O", "O", "O", "O", "O", "O"],
  "frac_coords": [[0.0757, 0.4633, 0.2485], [0.9243, 0.5367, 0.7515], [0.5000, 0.0000, 0.0000], [0.5000, 0.0000, 0.5000], [0.1777, 0.2479, 0.5469], [0.2035, 0.3069, 0.9756], [0.2702, 0.8726, 0.3090], [0.3778, 0.7478, 0.6791], [0.6222, 0.2522, 0.3209], [0.7298, 0.1274, 0.6910], [0.7965, 0.6931, 0.0244], [0.8223, 0.7521, 0.4531]],
  "rho_g_cm3": 6.46,
  "spacegroup": "P-1, No. 2",
  "e_tot_ev_per_cell": -82.35
}